1.
VASP calculation (meta-GGA SCAN) on a PBEsol-optimized structure of Mn2ReSnPd.

Geometry as extended XYZ:
```
5
Lattice="4.499 0.000 0.000 0.000 4.499 0.000 0.000 0.000 4.897" Properties=species:S:1:pos:R:3 pbc="T T T"
Sn 2.249 2.249 2.449
Mn 0.000 2.249 0.000
Pd 0.000 0.000 2.449
Mn 2.249 0.000 0.000
Re 0.000 0.000 0.000
```

Formation energy from the elements ... 0.939 eV/atom
Calculated volume ... 19.82 A^3/atom



2.
VASP calculation (meta-GGA SCAN) on a PBEsol-optimized structure of H2IrI.

Geometry as extended XYZ:
```
8
Lattice="5.309 0.016 -0.023 -2.632 4.611 0.023 2.632 1.565 4.337" Properties=species:S:1:pos:R:3 pbc="T T T"
H 2.451 3.214 0.890
Ir 2.655 1.552 1.079
I 0.000 3.088 2.180
H 4.197 1.156 0.528
H 1.543 0.651 0.189
I 2.655 4.640 3.259
Ir 0.000 0.000 0.000
H 2.428 1.186 2.708
```

Calculated volume ... 13.32 A^3/atom



3.
VASP calculation (meta-GGA SCAN) on a PBEsol-optimized structure of TcW2Cl.

Geometry as extended XYZ:
```
4
Lattice="2.895 0.000 0.000 0.000 2.895 0.000 0.000 0.000 6.910" Properties=species:S:1:pos:R:3 pbc="T T T"
Tc 1.448 1.448 3.455
W 0.000 0.000 1.717
Cl 1.448 1.448 0.000
W 0.000 0.000 5.194
```

E above lowest polymorph ... 0.000 eV/atom
Calculated volume ... 14.48 A^3/atom
Energy relative to the elements, uncorrected ... 51 kJ per mole of atoms



4.
VASP calculation (meta-GGA SCAN) on a PBEsol-optimized structure of CaGa2O4.

Geometry as extended XYZ:
```
56
Lattice="7.707 0.000 0.000 0.000 9.124 0.000 0.000 0.000 10.328" Properties=species:S:1:pos:R:3 pbc="T T T"
O 2.271 2.339 8.233
O 2.646 8.427 3.308
O 7.478 3.623 8.273
O 5.855 8.514 4.718
Ca 0.052 5.721 1.861
O 0.229 8.185 2.055
Ga 5.329 8.424 6.490
Ca 3.802 5.721 7.025
O 6.393 2.485 4.683
O 1.208 8.427 8.472
O 5.823 0.920 2.141
Ga 2.012 8.432 1.563
Ga 1.434 6.846 9.355
O 5.062 3.865 7.020
Ca 7.656 1.159 8.467
O 1.969 5.482 3.023
Ga 1.670 2.299 1.207
O 5.436 6.900 2.095
Ga 1.842 8.432 6.727
Ga 6.273 2.285 0.973
Ca 3.873 0.716 9.141
Ga 6.038 6.861 9.121
O 4.871 5.426 9.382
Ga 6.232 8.424 1.326
O 0.184 1.704 0.312
Ga 5.288 2.285 6.137
O 2.837 0.864 0.946
O 2.002 3.952 0.446
O 5.168 2.485 9.847
O 2.539 7.047 0.481
O 3.670 1.704 5.476
Ga 5.523 6.861 3.957
Ga 2.420 6.846 4.191
Ga 2.379 3.862 3.838
O 4.083 3.623 3.109
O 1.885 5.482 8.187
Ca 3.834 5.278 1.187
Ca 0.019 5.278 6.351
Ca 7.688 0.716 3.977
O 1.583 2.339 3.069
O 4.037 6.266 4.852
O 6.499 3.865 1.856
O 6.690 5.426 4.218
O 5.738 0.920 7.305
Ca 3.905 1.159 3.303
O 3.624 8.185 7.219
O 6.125 6.900 7.259
O 7.524 6.266 10.017
Ga 5.865 3.870 3.601
Ga 1.475 3.862 9.002
O 5.706 8.514 9.882
Ga 2.184 2.299 6.371
O 1.314 7.047 5.645
Ga 5.696 3.870 8.765
O 1.852 3.952 5.610
O 1.017 0.864 6.110
```

E above lowest polymorph ... 0.000 eV/atom
Calculated volume ... 12.97 A^3/atom
Energy relative to the elements, uncorrected ... -236 kJ per mole of atoms



5.
VASP calculation (meta-GGA SCAN) on a PBEsol-optimized structure of ZrTl2Pb.

Geometry as extended XYZ:
```
4
Lattice="-2.353 -0.533 2.252 -1.088 -0.035 -3.116 1.794 -10.092 -0.512" Properties=species:S:1:pos:R:3 pbc="T T T"
Pb -1.721 -0.284 -0.432
Zr -0.824 -5.330 -0.688
Tl 1.317 -7.409 -0.376
Tl 0.477 -2.683 -0.136
```

E above lowest polymorph ... 0.077 eV/atom
Formation energy from the elements ... 0.074 eV/atom
Calculated volume ... 25.52 A^3/atom



6.
VASP calculation (meta-GGA SCAN) on a PBEsol-optimized structure of CuSbRh2.

Geometry as extended XYZ:
```
4
Lattice="-2.307 0.476 -2.684 0.375 -3.880 -1.010 -3.051 -0.934 2.456" Properties=species:S:1:pos:R:3 pbc="T T T"
Rh 0.187 -1.940 -0.505
Sb -1.153 0.238 -1.342
Cu -2.491 -2.169 -0.619
Rh -1.525 -0.467 1.228
```

E above lowest polymorph ... 0.090 eV/atom
Calculated volume ... 14.47 A^3/atom
Energy relative to the elements, uncorrected ... -23 kJ per mole of atoms



7.
VASP calculation (meta-GGA SCAN) on a PBEsol-optimized structure of CaAlSe2.

Geometry as extended XYZ:
```
8
Lattice="-0.760 -5.299 -2.842 5.305 0.757 -2.830 0.782 -0.799 7.742" Properties=species:S:1:pos:R:3 pbc="T T T"
Al 2.273 -2.271 -2.836
Se 1.555 -4.313 -1.484
Se 1.394 -1.133 4.970
Se 3.188 -3.472 2.390
Ca 0.000 0.000 0.000
Al 1.148 -4.184 1.032
Ca 4.180 -1.156 1.038
Se 4.519 -1.763 -1.735
```

Calculated volume ... 30.05 A^3/atom
Energy relative to the elements, uncorrected ... -103 kJ per mole of atoms



8.
VASP calculation (meta-GGA SCAN) on a PBEsol-optimized structure of SnTeIO2.

Geometry as extended XYZ:
```
5
Lattice="-3.524 0.013 2.393 1.904 -2.565 2.818 2.096 4.917 3.059" Properties=species:S:1:pos:R:3 pbc="T T T"
Te 0.000 0.000 0.000
I 1.048 2.459 1.530
Sn 0.239 1.183 4.135
O -1.762 0.007 1.197
O 0.952 -1.282 1.409
```

Calculated volume ... 22.35 A^3/atom
Energy relative to the elements, uncorrected ... -5 kJ per mole of atoms



9.
VASP calculation (meta-GGA SCAN) on a PBEsol-optimized structure of RbLiNb2.

Geometry as extended XYZ:
```
8
Lattice="4.711 0.000 0.000 0.000 4.711 0.000 -2.355 -2.355 11.306" Properties=species:S:1:pos:R:3 pbc="T T T"
Nb 1.178 0.000 8.479
Rb 0.000 0.000 0.000
Nb -1.178 0.000 8.479
Rb 0.000 2.355 5.653
Nb 2.355 3.533 2.826
Nb 2.355 1.178 2.826
Li 2.355 0.000 5.653
Li 2.355 2.355 0.000
```

Formation energy from the elements ... 1.557 eV/atom
Calculated volume ... 31.36 A^3/atom



10.
VASP calculation (meta-GGA SCAN) on a PBEsol-optimized structure of SrIF2.

Geometry as extended XYZ:
```
4
Lattice="4.362 0.000 0.000 2.181 3.777 0.000 2.181 1.259 5.074" Properties=species:S:1:pos:R:3 pbc="T T T"
Sr 0.000 0.000 0.000
I 4.362 2.518 2.537
F 2.181 1.259 0.159
F 6.543 3.777 4.916
```

E above lowest polymorph ... 0.000 eV/atom
Calculated volume ... 20.90 A^3/atom
Energy relative to the elements, uncorrected ... -253 kJ per mole of atoms



11.
VASP calculation (meta-GGA SCAN) on a PBEsol-optimized structure of MgZr2Fe.

Geometry as extended XYZ:
```
4
Lattice="3.173 0.000 0.000 0.000 3.173 0.000 0.000 0.000 7.350" Properties=species:S:1:pos:R:3 pbc="T T T"
Fe 0.000 0.000 3.519
Mg 1.587 1.587 5.173
Zr 0.000 0.000 0.123
Zr 1.587 1.587 2.210
```

Formation energy from the elements ... 0.087 eV/atom
Calculated volume ... 18.50 A^3/atom



12.
VASP calculation (meta-GGA SCAN) on a PBEsol-optimized structure of CdCuSi3.

Geometry as extended XYZ:
```
5
Lattice="-0.419 -4.359 1.190 3.021 -1.159 -3.181 3.360 0.499 3.009" Properties=species:S:1:pos:R:3 pbc="T T T"
Si 1.511 -0.580 -1.591
Cu 0.000 0.000 0.000
Si 1.680 0.249 1.505
Cd 2.981 -2.510 0.509
Si -0.210 -2.179 0.595
```

Calculated volume ... 18.69 A^3/atom
Energy relative to the elements, uncorrected ... 80 kJ per mole of atoms



13.
VASP calculation (meta-GGA SCAN) on a PBEsol-optimized structure of Ti2Cu2Hg.

Geometry as extended XYZ:
```
10
Lattice="3.153 0.000 0.000 0.000 6.905 0.000 0.000 0.000 6.905" Properties=species:S:1:pos:R:3 pbc="T T T"
Cu 0.000 0.865 2.588
Ti 1.577 2.297 1.156
Ti 1.577 5.749 2.297
Cu 0.000 2.588 6.040
Hg 0.000 3.452 3.452
Cu 0.000 6.040 4.317
Cu 0.000 4.317 0.865
Ti 1.577 1.156 4.608
Ti 1.577 4.608 5.749
Hg 0.000 0.000 0.000
```

Formation energy from the elements ... -0.155 eV/atom
Calculated volume ... 15.03 A^3/atom



14.
VASP calculation (meta-GGA SCAN) on a PBEsol-optimized structure of VCl2O.

Geometry as extended XYZ:
```
4
Lattice="-0.774 -1.140 3.116 -2.965 -1.760 -1.381 1.529 -6.414 -0.104" Properties=species:S:1:pos:R:3 pbc="T T T"
V -0.217 -0.129 -0.101
O -1.523 -0.904 -0.709
Cl -2.452 -3.639 -0.078
Cl 0.248 -5.671 1.712
```

Calculated volume ... 19.28 A^3/atom
Energy relative to the elements, uncorrected ... -180 kJ per mole of atoms



15.
VASP calculation (meta-GGA SCAN) on a PBEsol-optimized structure of ZnBiTe2.

Geometry as extended XYZ:
```
4
Lattice="-1.747 -3.115 1.060 0.311 -3.098 -2.046 7.156 -4.637 4.716" Properties=species:S:1:pos:R:3 pbc="T T T"
Zn 2.860 -5.425 1.865
Te 4.689 -3.808 3.086
Te 1.030 -7.042 0.643
Bi 0.000 0.000 0.000
```

Calculated volume ... 28.56 A^3/atom
Energy relative to the elements, uncorrected ... 5 kJ per mole of atoms



16.
VASP calculation (meta-GGA SCAN) on a PBEsol-optimized structure of SiPt2.

Geometry as extended XYZ:
```
9
Lattice="-0.343 1.090 -3.357 5.677 -2.754 -1.475 -5.489 -3.400 -0.543" Properties=species:S:1:pos:R:3 pbc="T T T"
Pt 0.052 -1.697 -0.557
Pt 2.003 -0.510 -2.243
Si 1.955 -2.970 -1.164
Pt -3.975 -2.462 -0.394
Pt -0.056 -3.252 -2.924
Si -1.767 -3.185 -0.854
Pt 4.111 -1.995 -1.068
Si -0.172 0.545 -1.679
Pt -2.274 -0.757 -1.887
```

Calculated volume ... 14.33 A^3/atom
Energy relative to the elements, uncorrected ... -70 kJ per mole of atoms



17.
VASP calculation (meta-GGA SCAN) on a PBEsol-optimized structure of KCdCl3.

Geometry as extended XYZ:
```
20
Lattice="3.978 0.000 0.000 0.000 8.680 0.000 0.000 0.000 14.536" Properties=species:S:1:pos:R:3 pbc="T T T"
Cl 0.995 2.552 3.088
Cl 0.995 6.892 4.180
Cl 0.995 4.536 8.760
Cl 2.984 6.128 11.448
Cd 0.995 1.489 0.816
K 0.995 8.038 9.853
Cl 0.995 1.409 7.131
Cl 0.995 0.196 13.044
Cl 2.984 1.788 10.355
K 2.984 0.642 4.682
Cl 0.995 5.749 0.137
Cl 2.984 7.271 7.405
Cl 2.984 4.144 5.776
Cl 2.984 2.931 14.399
Cd 0.995 5.829 6.452
Cl 2.984 8.484 1.492
Cd 2.984 7.191 13.719
K 2.984 4.982 2.585
Cd 2.984 2.851 8.084
K 0.995 3.698 11.950
```

Calculated volume ... 25.10 A^3/atom
Energy relative to the elements, uncorrected ... -161 kJ per mole of atoms



18.
VASP calculation (meta-GGA SCAN) on a PBEsol-optimized structure of LiMg2Al.

Geometry as extended XYZ:
```
4
Lattice="-1.951 1.064 -2.023 -3.198 0.346 3.267 2.667 4.652 2.118" Properties=species:S:1:pos:R:3 pbc="T T T"
Mg -1.976 2.105 1.060
Mg 0.781 5.473 0.185
Al 0.958 2.520 0.671
Li -0.196 4.005 2.601
```

Formation energy from the elements ... -0.034 eV/atom
Calculated volume ... 19.17 A^3/atom



19.
VASP calculation (meta-GGA SCAN) on a PBEsol-optimized structure of AgO2F2.

Geometry as extended XYZ:
```
5
Lattice="3.512 0.000 0.000 0.000 3.512 0.000 0.000 0.000 4.741" Properties=species:S:1:pos:R:3 pbc="T T T"
O 0.000 1.756 0.000
F 0.000 0.000 0.000
F 0.000 0.000 2.371
Ag 1.756 1.756 2.371
O 1.756 0.000 0.000
```

E above lowest polymorph ... 0.348 eV/atom
Calculated volume ... 11.70 A^3/atom
Energy relative to the elements, uncorrected ... 67 kJ per mole of atoms



20.
VASP calculation (meta-GGA SCAN) on a PBEsol-optimized structure of ZrTe2Mo.

Geometry as extended XYZ:
```
4
Lattice="-0.309 2.787 2.105 -4.545 -1.542 1.374 3.138 -3.483 2.152" Properties=species:S:1:pos:R:3 pbc="T T T"
Mo 0.293 0.076 2.862
Zr -2.602 0.510 1.864
Te -1.612 -2.071 2.505
Te -0.223 -0.131 0.140
```

E above lowest polymorph ... 0.000 eV/atom
Calculated volume ... 20.59 A^3/atom
Energy relative to the elements, uncorrected ... -22 kJ per mole of atoms



21.
VASP calculation (meta-GGA SCAN) on a PBEsol-optimized structure of InCuRh2.

Geometry as extended XYZ:
```
4
Lattice="-1.978 -1.958 -0.454 -0.208 -1.234 -2.527 4.747 -7.184 1.544" Properties=species:S:1:pos:R:3 pbc="T T T"
Rh 1.911 -7.770 -1.083
Cu 1.340 -5.255 -0.691
In 0.654 -2.609 -0.353
Rh 4.685 -7.113 1.515
```

Formation energy from the elements ... 0.183 eV/atom
Calculated volume ... 14.80 A^3/atom



22.
VASP calculation (meta-GGA SCAN) on a PBEsol-optimized structure of MnCoSb.

Geometry as extended XYZ:
```
3
Lattice="4.048 0.000 0.000 2.024 3.506 0.000 2.024 1.169 3.306" Properties=species:S:1:pos:R:3 pbc="T T T"
Mn 0.000 0.000 0.000
Co 6.073 3.506 2.479
Sb 4.048 2.337 1.653
```

Calculated volume ... 15.64 A^3/atom
Energy relative to the elements, uncorrected ... -21 kJ per mole of atoms



23.
VASP calculation (meta-GGA SCAN) on a PBEsol-optimized structure of AgOsIN2.

Geometry as extended XYZ:
```
5
Lattice="3.834 0.000 0.000 0.000 3.834 0.000 0.000 0.000 5.910" Properties=species:S:1:pos:R:3 pbc="T T T"
I 0.000 0.000 2.955
Ag 1.917 1.917 2.955
N 1.917 0.000 0.000
Os 0.000 0.000 0.000
N 0.000 1.917 0.000
```

Calculated volume ... 17.37 A^3/atom
Energy relative to the elements, uncorrected ... 77 kJ per mole of atoms



24.
VASP calculation (meta-GGA SCAN) on a PBEsol-optimized structure of In2AsCl.

Geometry as extended XYZ:
```
4
Lattice="4.133 0.000 0.000 0.000 4.134 0.000 0.000 0.000 5.784" Properties=species:S:1:pos:R:3 pbc="T T T"
Cl 3.615 2.067 2.892
In 3.617 2.067 0.000
In 1.551 0.000 2.892
As 1.549 0.000 0.000
```

E above lowest polymorph ... 0.000 eV/atom
Calculated volume ... 24.70 A^3/atom
Energy relative to the elements, uncorrected ... -39 kJ per mole of atoms



25.
VASP calculation (meta-GGA SCAN) on a PBEsol-optimized structure of RbTcI2N.

Geometry as extended XYZ:
```
5
Lattice="-1.849 -0.180 4.707 -1.117 -6.380 -0.683 5.959 -1.289 2.292" Properties=species:S:1:pos:R:3 pbc="T T T"
N -0.925 -0.090 2.353
Rb 0.000 0.000 0.000
Tc 1.496 -3.924 3.158
I -0.559 -3.190 -0.342
I 2.979 -0.644 1.146
```

Calculated volume ... 42.93 A^3/atom
Energy relative to the elements, uncorrected ... 137 kJ per mole of atoms



no.,raw total energy (eV/atom)
1,-34.32
2,-28.02
3,-45.08
4,-12.06
5,-62.72
6,-30.24
7,-15.47
8,-24.53
9,-20.79
10,-19.14
11,-21.04
12,-14.31
13,-26.28
14,-11.79
15,-41.60
16,-50.86
17,-14.20
18,-5.06
19,-9.49
20,-35.25
21,-28.85
22,-24.49
23,-30.92
24,-24.14
25,-26.29